(one)
Compound: SnI2N2
Source: the Alexandria database
Functional: GGA-PBE
Structure: optimized geometry

For the density, the calculation gives 5.12 g cm⁻³.

CIF file:
```
data_SnI2N2
_cell_length_a 4.300
_cell_length_b 4.300
_cell_length_c 7.032
_cell_angle_alpha 90.00
_cell_angle_beta 90.00
_cell_angle_gamma 90.00
_space_group_name_H-M_alt 'P 1'
_space_group_IT_number 1
loop_
_space_group_symop_operation_xyz
'x,y,z'
loop_
_atom_site_label
_atom_site_type_symbol
_atom_site_fract_x
_atom_site_fract_y
_atom_site_fract_z
I1 I 0.000 0.000 0.000
I2 I 0.000 0.000 0.500
Sn1 Sn 0.500 0.500 0.500
N1 N 0.000 0.500 0.000
N2 N 0.500 0.000 0.000
```

(two)
Compound: SnI2N2
Source: the Alexandria database
Functional: GGA-PBE
Structure: optimized geometry

For the density, the calculation gives 3.23 g cm⁻³.

CIF file:
```
data_SnI2N2
_cell_length_a 4.554
_cell_length_b 4.556
_cell_length_c 11.466
_cell_angle_alpha 86.70
_cell_angle_beta 90.00
_cell_angle_gamma 119.99
_space_group_name_H-M_alt 'P 1'
_space_group_IT_number 1
loop_
_space_group_symop_operation_xyz
'x,y,z'
loop_
_atom_site_label
_atom_site_type_symbol
_atom_site_fract_x
_atom_site_fract_y
_atom_site_fract_z
Sn1 Sn 0.000 0.000 0.000
I1 I 0.651 0.302 0.162
I2 I 0.349 0.698 0.838
N1 N 0.945 0.891 0.472
N2 N 0.055 0.109 0.528
```

(three)
Compound: SnI2N2
Source: the Alexandria database
Functional: GGA-PBE
Structure: optimized geometry

For the density, the calculation gives 4.44 g cm⁻³.

CIF file:
```
data_SnI2N2
_cell_length_a 5.993
_cell_length_b 5.993
_cell_length_c 4.169
_cell_angle_alpha 90.00
_cell_angle_beta 90.00
_cell_angle_gamma 90.00
_space_group_name_H-M_alt 'P 1'
_space_group_IT_number 1
loop_
_space_group_symop_operation_xyz
'x,y,z'
loop_
_atom_site_label
_atom_site_type_symbol
_atom_site_fract_x
_atom_site_fract_y
_atom_site_fract_z
I1 I 0.000 0.500 0.000
I2 I 0.500 0.000 0.000
Sn1 Sn 0.000 0.000 0.000
N1 N 0.500 0.500 0.500
N2 N 0.000 0.000 0.500
```

(four)
Compound: SnI2N2
Source: the Alexandria database
Functional: GGA-PBE
Structure: optimized geometry

For the density, the calculation gives 4.49 g cm⁻³.

CIF file:
```
data_SnI2N2
_cell_length_a 4.349
_cell_length_b 4.349
_cell_length_c 7.824
_cell_angle_alpha 90.00
_cell_angle_beta 90.00
_cell_angle_gamma 90.00
_space_group_name_H-M_alt 'P 1'
_space_group_IT_number 1
loop_
_space_group_symop_operation_xyz
'x,y,z'
loop_
_atom_site_label
_atom_site_type_symbol
_atom_site_fract_x
_atom_site_fract_y
_atom_site_fract_z
I1 I 0.500 0.500 0.500
I2 I 0.000 0.000 0.500
Sn1 Sn 0.000 0.000 0.000
N1 N 0.000 0.500 0.000
N2 N 0.500 0.000 0.000
```

Stability summary: most stable (two), least stable (one).

(one)
Compound: SnI3N
Source: the Alexandria database
Functional: GGA-PBE
Structure: optimized geometry

For the density, the calculation gives 3.35 g cm⁻³.

CIF file:
```
data_SnI3N
_cell_length_a 7.015
_cell_length_b 7.015
_cell_length_c 12.458
_cell_angle_alpha 66.74
_cell_angle_beta 66.74
_cell_angle_gamma 72.14
_space_group_name_H-M_alt 'P 1'
_space_group_IT_number 1
loop_
_space_group_symop_operation_xyz
'x,y,z'
loop_
_atom_site_label
_atom_site_type_symbol
_atom_site_fract_x
_atom_site_fract_y
_atom_site_fract_z
Sn1 Sn 0.737 0.263 0.500
Sn2 Sn 0.263 0.737 0.500
I1 I 0.048 0.048 0.153
I2 I 0.952 0.952 0.847
I3 I 0.780 0.780 0.545
I4 I 0.637 0.637 0.280
I5 I 0.220 0.220 0.455
I6 I 0.363 0.363 0.720
N1 N 0.757 0.757 0.964
N2 N 0.243 0.243 0.036
```

(two)
Compound: SnI3N
Source: the Alexandria database
Functional: GGA-PBE
Structure: optimized geometry

For the density, the calculation gives 6.28 g cm⁻³.

CIF file:
```
data_SnI3N
_cell_length_a 5.140
_cell_length_b 5.140
_cell_length_c 5.140
_cell_angle_alpha 90.00
_cell_angle_beta 90.00
_cell_angle_gamma 90.00
_space_group_name_H-M_alt 'P 1'
_space_group_IT_number 1
loop_
_space_group_symop_operation_xyz
'x,y,z'
loop_
_atom_site_label
_atom_site_type_symbol
_atom_site_fract_x
_atom_site_fract_y
_atom_site_fract_z
I1 I 0.000 0.500 0.000
I2 I 0.000 0.000 0.500
I3 I 0.500 0.000 0.000
Sn1 Sn 0.500 0.500 0.500
N1 N 0.000 0.000 0.000
```

Stability summary: most stable (one), least stable (two).